(1)
# Li2Cd3SbO6 | Alexandria via LeMat-Bulk | PBE | optimized geometry
data_Li2Cd3SbO6
_chemical_formula_sum 'Li4 Cd6 Sb2 O12'
_cell_length_a 5.6341
_cell_length_b 9.7847
_cell_length_c 5.7195
_cell_angle_alpha 90.00
_cell_angle_beta 108.73
_cell_angle_gamma 90.00
_symmetry_space_group_name_H-M 'C 1 2/m 1'
_symmetry_Int_Tables_number 12
_symmetry_space_group_name_Hall '-C 2y'
loop_
_atom_site_label
_atom_site_type_symbol
_atom_site_fract_x
_atom_site_fract_y
_atom_site_fract_z
_atom_site_occupancy
Li1 Li 0.0000 0.1620 0.0000 1
Cd1 Cd 0.0000 0.0000 0.5000 1
Cd2 Cd 0.0000 0.3267 0.5000 1
Sb1 Sb 0.0000 0.5000 0.0000 1
O1 O 0.2258 0.3488 0.2213 1
O2 O 0.2307 0.5000 0.7800 1
# **Magnetization**: 0.0 μB/f.u.
# **Density**: 6.3 g/cm3
# **Uncorrected formation energy**: -1.317 eV/atom
# **DFT total energy**: -4.688 eV per atom

(2)
# BeTe2 | Alexandria via LeMat-Bulk | PBE | optimized geometry
data_BeTe2
_chemical_formula_sum 'Be4 Te8'
_cell_length_a 6.6977
_cell_length_b 6.6977
_cell_length_c 6.6977
_cell_angle_alpha 90.00
_cell_angle_beta 90.00
_cell_angle_gamma 90.00
_symmetry_space_group_name_H-M 'F m -3 m'
_symmetry_Int_Tables_number 225
_symmetry_space_group_name_Hall '-F 4 2 3'
loop_
_atom_site_label
_atom_site_type_symbol
_atom_site_fract_x
_atom_site_fract_y
_atom_site_fract_z
_atom_site_occupancy
Be1 Be 0.0000 0.0000 0.0000 1
Te1 Te 0.2500 0.2500 0.2500 1
# **Magnetization**: 0.0 μB/f.u.
# **Density**: 5.8 g/cm3
# **Uncorrected formation energy**: 0.468 eV/atom
# **DFT total energy**: -2.869 eV per atom

(3)
# La2TaW | Alexandria via LeMat-Bulk | PBE | optimized geometry
data_La2TaW
_chemical_formula_sum 'La4 Ta2 W2'
_cell_length_a 3.5267
_cell_length_b 4.5953
_cell_length_c 12.0387
_cell_angle_alpha 90.00
_cell_angle_beta 90.00
_cell_angle_gamma 90.00
_symmetry_space_group_name_H-M 'I m m m'
_symmetry_Int_Tables_number 71
_symmetry_space_group_name_Hall '-I 2 2'
loop_
_atom_site_label
_atom_site_type_symbol
_atom_site_fract_x
_atom_site_fract_y
_atom_site_fract_z
_atom_site_occupancy
La1 La 0.0000 0.0000 0.2010 1
Ta1 Ta 0.0000 0.5000 0.0000 1
W1 W 0.0000 0.5000 0.5000 1
# **Magnetization**: 0.0 μB/f.u.
# **Density**: 10.9 g/cm3
# **DFT total energy**: -7.968 eV per atom
# **ΔE_f**: 0.697 eV/atom

(4)
# CaMg4Si | Alexandria via LeMat-Bulk | PBE | optimized geometry
data_CaMg4Si
_chemical_formula_sum 'Ca4 Mg16 Si4'
_cell_length_a 8.3595
_cell_length_b 8.3595
_cell_length_c 8.3595
_cell_angle_alpha 90.00
_cell_angle_beta 90.00
_cell_angle_gamma 90.00
_symmetry_space_group_name_H-M 'F -4 3 m'
_symmetry_Int_Tables_number 216
_symmetry_space_group_name_Hall 'F -4 2 3'
loop_
_atom_site_label
_atom_site_type_symbol
_atom_site_fract_x
_atom_site_fract_y
_atom_site_fract_z
_atom_site_occupancy
Ca1 Ca 0.0000 0.0000 0.0000 1
Mg1 Mg 0.1243 0.1243 0.6243 1
Si1 Si 0.2500 0.2500 0.2500 1
# **Magnetization**: 0.0 μB/f.u.
# **Density**: 1.9 g/cm3
# **Uncorrected formation energy**: 0.158 eV/atom
# **DFT total energy**: -2.142 eV per atom

(5)
# Sr2AcUSe6 | Alexandria via LeMat-Bulk | PBE | optimized geometry
data_Sr2AcUSe6
_chemical_formula_sum 'Sr4 Ac2 U2 Se12'
_cell_length_a 7.3637
_cell_length_b 7.9962
_cell_length_c 13.0063
_cell_angle_alpha 90.00
_cell_angle_beta 123.18
_cell_angle_gamma 90.00
_symmetry_space_group_name_H-M 'P 1 21/c 1'
_symmetry_Int_Tables_number 14
_symmetry_space_group_name_Hall '-P 2ybc'
loop_
_atom_site_label
_atom_site_type_symbol
_atom_site_fract_x
_atom_site_fract_y
_atom_site_fract_z
_atom_site_occupancy
Sr1 Sr 0.2128 0.0897 0.2468 1
Ac1 Ac 0.5000 0.0000 0.0000 1
U1 U 0.0000 0.0000 0.5000 1
Se1 Se 0.0933 0.2038 0.9262 1
Se2 Se 0.2307 0.6786 0.9296 1
Se3 Se 0.3683 0.0489 0.7330 1
# **Magnetization**: 1.0 μB/f.u.
# **Density**: 5.8 g/cm3
# **Uncorrected formation energy**: -1.671 eV/atom
# **DFT total energy**: -5.637 eV per atom

(6)
# Ta2PIr | Alexandria via LeMat-Bulk | PBE | optimized geometry
data_Ta2PIr
_chemical_formula_sum 'Ta2 P1 Ir1'
_cell_length_a 3.9462
_cell_length_b 3.9462
_cell_length_c 4.0476
_cell_angle_alpha 90.00
_cell_angle_beta 90.00
_cell_angle_gamma 90.00
_symmetry_space_group_name_H-M 'P 4/m m m'
_symmetry_Int_Tables_number 123
_symmetry_space_group_name_Hall '-P 4 2'
loop_
_atom_site_label
_atom_site_type_symbol
_atom_site_fract_x
_atom_site_fract_y
_atom_site_fract_z
_atom_site_occupancy
Ta1 Ta 0.0000 0.5000 0.0000 1
P1 P 0.0000 0.0000 0.5000 1
Ir1 Ir 0.5000 0.5000 0.5000 1
# **Magnetization**: 0.0 μB/f.u.
# **Density**: 15.4 g/cm3
# **DFT total energy**: -9.683 eV per atom
# **ΔE_f**: -0.189 eV/atom

(7)
# PrSmDy3Tm | Alexandria via LeMat-Bulk | PBE | optimized geometry
data_PrSmDy3Tm
_chemical_formula_sum 'Pr4 Sm4 Dy12 Tm4'
_cell_length_a 5.0573
_cell_length_b 15.1815
_cell_length_c 10.1140
_cell_angle_alpha 90.00
_cell_angle_beta 90.00
_cell_angle_gamma 90.00
_symmetry_space_group_name_H-M 'C m c m'
_symmetry_Int_Tables_number 63
_symmetry_space_group_name_Hall '-C 2c 2'
loop_
_atom_site_label
_atom_site_type_symbol
_atom_site_fract_x
_atom_site_fract_y
_atom_site_fract_z
_atom_site_occupancy
Pr1 Pr 0.0000 0.0000 0.0000 1
Sm1 Sm 0.0000 0.4998 0.2500 1
Dy1 Dy 0.0000 0.1685 0.2500 1
Dy2 Dy 0.0000 0.3315 0.0002 1
Tm1 Tm 0.0000 0.1682 0.7500 1
# **Magnetization**: 0.0 μB/f.u.
# **Density**: 8.1 g/cm3
# **DFT total energy**: -4.607 eV per atom
# **ΔE_f**: 0.023 eV/atom

(8)
# ScTl2VCd | Alexandria via LeMat-Bulk | PBE | optimized geometry
data_ScTl2VCd
_chemical_formula_sum 'Sc1 Tl2 V1 Cd1'
_cell_length_a 5.3441
_cell_length_b 5.3441
_cell_length_c 4.6524
_cell_angle_alpha 90.00
_cell_angle_beta 90.00
_cell_angle_gamma 90.00
_symmetry_space_group_name_H-M 'P 4/m m m'
_symmetry_Int_Tables_number 123
_symmetry_space_group_name_Hall '-P 4 2'
loop_
_atom_site_label
_atom_site_type_symbol
_atom_site_fract_x
_atom_site_fract_y
_atom_site_fract_z
_atom_site_occupancy
Sc1 Sc 0.0000 0.0000 0.0000 1
Tl1 Tl 0.0000 0.5000 0.5000 1
V1 V 0.0000 0.0000 0.5000 1
Cd1 Cd 0.5000 0.5000 0.0000 1
# **Magnetization**: 0.0 μB/f.u.
# **Density**: 7.7 g/cm3
# **DFT total energy**: -3.718 eV per atom
# **ΔE_f**: 0.501 eV/atom

(9)
# MgTaIrPd | Alexandria via LeMat-Bulk | PBE | optimized geometry
data_MgTaIrPd
_chemical_formula_sum 'Mg4 Ta4 Ir4 Pd4'
_cell_length_a 6.3624
_cell_length_b 6.3624
_cell_length_c 6.3624
_cell_angle_alpha 90.00
_cell_angle_beta 90.00
_cell_angle_gamma 90.00
_symmetry_space_group_name_H-M 'F -4 3 m'
_symmetry_Int_Tables_number 216
_symmetry_space_group_name_Hall 'F -4 2 3'
loop_
_atom_site_label
_atom_site_type_symbol
_atom_site_fract_x
_atom_site_fract_y
_atom_site_fract_z
_atom_site_occupancy
Mg1 Mg 0.0000 0.0000 0.0000 1
Ta1 Ta 0.0000 0.0000 0.5000 1
Ir1 Ir 0.2500 0.2500 0.7500 1
Pd1 Pd 0.2500 0.2500 0.2500 1
# **Magnetization**: 0.0 μB/f.u.
# **Density**: 13.0 g/cm3
# **DFT total energy**: -7.363 eV per atom
# **ΔE_f**: -0.488 eV/atom

(10)
# RbHg3Se | Alexandria via LeMat-Bulk | PBE | optimized geometry
data_RbHg3Se
_chemical_formula_sum 'Rb1 Hg3 Se1'
_cell_length_a 5.8010
_cell_length_b 5.8010
_cell_length_c 5.8010
_cell_angle_alpha 90.00
_cell_angle_beta 90.00
_cell_angle_gamma 90.00
_symmetry_space_group_name_H-M 'P m -3 m'
_symmetry_Int_Tables_number 221
_symmetry_space_group_name_Hall '-P 4 2 3'
loop_
_atom_site_label
_atom_site_type_symbol
_atom_site_fract_x
_atom_site_fract_y
_atom_site_fract_z
_atom_site_occupancy
Rb1 Rb 0.0000 0.0000 0.0000 1
Hg1 Hg 0.0000 0.5000 0.5000 1
Se1 Se 0.5000 0.5000 0.5000 1
# **Magnetization**: 0.0 μB/f.u.
# **Density**: 6.5 g/cm3
# **Uncorrected formation energy**: -0.020 eV/atom
# **DFT total energy**: -1.091 eV per atom